1.
This record from Alexandria describes a relaxed VCoAs2Br crystal. The functional is GGA-PBE.

The structure in POSCAR format:
```
VCoAs2Br
1.0
4.460 0.000 0.000
0.000 4.460 0.000
0.000 0.000 5.261
As Co V Br
2 1 1 1
direct
0.000 0.500 0.000 As
0.500 0.000 0.000 As
0.000 0.000 0.000 Co
0.500 0.500 0.500 V
0.000 0.000 0.500 Br
```

The calculation puts the uncorrected formation energy at 0.574 eV per atom. The calculation puts the total magnetic moment at 3.8 Bohr magnetons per cell. The total energy comes out at -24.33 eV/cell.


2.
This record from Alexandria describes a relaxed V12Ga3Sb crystal. The functional is GGA-PBE.

The structure in POSCAR format:
```
V12Ga3Sb
1.0
4.846 0.000 0.000
0.000 4.847 0.000
0.000 0.000 9.562
V Sb Ga
12 1 3
direct
0.000 0.741 0.243 V
0.500 0.000 0.120 V
0.000 0.259 0.243 V
0.761 0.500 0.000 V
0.000 0.741 0.757 V
0.500 0.000 0.880 V
0.000 0.259 0.757 V
0.500 0.000 0.634 V
0.740 0.500 0.500 V
0.500 0.000 0.366 V
0.260 0.500 0.500 V
0.239 0.500 0.000 V
0.000 0.000 0.500 Sb
0.000 0.000 0.000 Ga
0.500 0.500 0.750 Ga
0.500 0.500 0.250 Ga
```

The calculation puts the uncorrected formation energy at -0.177 eV per atom. The calculation puts the total magnetic moment at 0.0 Bohr magnetons per cell. The total energy comes out at -125.45 eV/cell.


3.
This record from Alexandria describes a relaxed Ho8GaTe4As3 crystal. The functional is GGA-PBE.

The structure in POSCAR format:
```
Ho8GaTe4As3
1.0
8.402 0.000 0.000
0.000 8.537 0.089
-4.201 -4.197 5.944
Te Ho As Ga
4 8 3 1
direct
0.000 0.000 0.000 Te
0.000 0.000 0.500 Te
0.500 0.000 0.500 Te
0.500 0.000 0.000 Te
0.762 0.280 0.018 Ho
0.739 0.718 0.479 Ho
0.256 0.280 0.018 Ho
0.744 0.720 0.982 Ho
0.238 0.720 0.476 Ho
0.261 0.282 0.521 Ho
0.238 0.720 0.982 Ho
0.762 0.280 0.524 Ho
0.500 0.500 0.000 As
0.000 0.500 0.500 As
0.500 0.500 0.500 As
0.000 0.500 0.000 Ga
```

The calculation puts the uncorrected formation energy at -1.349 eV per atom. The calculation puts the total magnetic moment at 0.0 Bohr magnetons per cell. The total energy comes out at -87.75 eV/cell.


4.
This record from Alexandria describes a relaxed GdPuThIn crystal. The functional is GGA-PBE.

The structure in POSCAR format:
```
GdPuThIn
1.0
-4.297 -2.235 2.477
0.716 -4.044 3.569
-0.840 0.872 5.304
Pu Th In Gd
1 1 1 1
direct
0.750 0.750 0.750 Pu
0.000 0.000 0.000 Th
0.500 0.500 0.500 In
0.250 0.250 0.250 Gd
```

The calculation puts the total magnetic moment at 14.4 Bohr magnetons per cell. The formation energy comes out at 17 kJ/mol of formula units. The total energy comes out at -38.40 eV/cell.


5.
This record from Alexandria describes a relaxed TbPr5Dy2Sc crystal. The functional is GGA-PBE.

The structure in POSCAR format:
```
TbPr5Dy2Sc
1.0
5.416 0.000 0.000
-2.708 10.996 0.000
0.000 0.000 10.323
Pr Dy Tb Sc
10 4 2 2
direct
0.279 0.558 0.697 Pr
0.627 0.255 0.508 Pr
0.500 0.000 0.758 Pr
0.373 0.745 0.008 Pr
0.500 0.000 0.258 Pr
0.721 0.442 0.197 Pr
0.999 0.999 0.008 Pr
0.278 0.556 0.321 Pr
0.001 0.001 0.508 Pr
0.722 0.444 0.821 Pr
0.115 0.230 0.255 Dy
0.884 0.768 0.261 Dy
0.885 0.770 0.755 Dy
0.116 0.232 0.761 Dy
0.398 0.797 0.508 Tb
0.602 0.203 0.008 Tb
0.212 0.424 0.009 Sc
0.788 0.576 0.509 Sc
```

The calculation puts the total magnetic moment at 0.0 Bohr magnetons per cell. The formation energy comes out at 107 kJ/mol of formula units. The total energy comes out at -85.91 eV/cell.


6.
This record from Alexandria describes a relaxed OsRh2Cl crystal. The functional is GGA-PBE.

The structure in POSCAR format:
```
OsRh2Cl
1.0
4.556 -0.004 -0.224
3.694 2.668 -0.224
0.798 0.258 6.422
Rh Os Cl
2 1 1
direct
0.949 0.949 0.026 Rh
0.682 0.682 0.836 Rh
0.218 0.218 0.165 Os
0.651 0.651 0.473 Cl
```

The calculation puts the uncorrected formation energy at 0.496 eV per atom. The calculation puts the total magnetic moment at 0.0 Bohr magnetons per cell. The total energy comes out at -25.79 eV/cell.